1.
The following is a PBE calculation of a geometry-optimized UMnS3 structure, from Alexandria.

**D(E_F)**: 1.701 states/eV per atom
**Crystal system**: orthorhombic
**Raw formation energy**: -0.938 eV/atom

Unit cell a=7.4864 b=10.5284 c=6.4252 alpha=90.00 beta=90.00 gamma=90.00
With the nearest neighbours (Å) after each atom.
Sites, in units of the cell vectors:
U (0.0000, 0.0000, 0.0000)  6 S 2.67-2.78
U (0.0000, 0.5000, 0.0000)  6 S 2.67-2.78
U (0.5000, 0.0000, 0.5000)  6 S 2.67-2.78
U (0.5000, 0.5000, 0.5000)  6 S 2.67-2.78
Mn (0.1855, 0.2500, 0.4506)  4 S 2.32-2.46
Mn (0.3145, 0.7500, 0.9506)  4 S 2.32-2.46
Mn (0.6855, 0.2500, 0.0494)  4 S 2.32-2.46
Mn (0.8145, 0.7500, 0.5494)  4 S 2.32-2.46
S (0.0046, 0.2500, 0.1412)  2 Mn 2.41-2.46
S (0.1845, 0.0693, 0.6578)  1 Mn 2.32
S (0.1845, 0.4307, 0.6578)  1 Mn 2.32
S (0.3155, 0.5693, 0.1578)  1 Mn 2.32
S (0.3155, 0.9307, 0.1578)  1 Mn 2.32
S (0.4954, 0.7500, 0.6412)  2 Mn 2.41-2.46
S (0.5046, 0.2500, 0.3588)  2 Mn 2.41-2.46
S (0.6845, 0.0693, 0.8422)  1 Mn 2.32
S (0.6845, 0.4307, 0.8422)  1 Mn 2.32
S (0.8155, 0.5693, 0.3422)  1 Mn 2.32
S (0.8155, 0.9307, 0.3422)  1 Mn 2.32
S (0.9954, 0.7500, 0.8588)  2 Mn 2.41-2.46

2.
The following is a PBE calculation of a geometry-optimized SrBe2As structure, from Alexandria.

**D(E_F)**: 0.437 states/eV per atom
**Crystal system**: orthorhombic
**Calculated formation energy**: 0.80 eV/f.u.

Unit cell a=3.2298 b=3.4533 c=6.5606 alpha=90.00 beta=90.00 gamma=90.00
With the nearest neighbours (Å) after each atom.
Sites, in units of the cell vectors:
Sr (0.0000, 0.0000, 0.0000)  6 Be 3.22-3.33, 4 Sr 3.23-3.45, 4 As 3.23
Be (0.0000, 0.0000, 0.5079)  4 Be 2.58, 4 As 2.62
Be (0.5000, 0.5000, 0.6671)  1 As 2.17
As (0.5000, 0.5000, 0.3356)  1 Be 2.17

3.
The following is a PBE calculation of a geometry-optimized Rb2NaSCl6 structure, from Alexandria.

**D(E_F)**: 0.353 states/eV per atom
**Crystal system**: tetragonal
**Raw formation energy**: -1.009 eV/atom

Unit cell a=7.1092 b=7.1092 c=7.1092 alpha=114.15 beta=114.15 gamma=100.48
With the nearest neighbours (Å) after each atom.
Sites, in units of the cell vectors:
Rb (0.2500, 0.7500, 0.5000)  12 Cl 3.56-3.87
Rb (0.7500, 0.2500, 0.5000)  12 Cl 3.56-3.87
Na (0.0000, 0.0000, 0.0000)  2 Cl 2.38
S (0.5000, 0.5000, 0.0000)  2 Cl 2.16
Cl (0.2589, 0.2589, 0.5178)  1 S 2.64, 1 Na 2.83
Cl (0.2589, 0.7411, 0.0000)  1 S 2.64, 1 Na 2.83
Cl (0.2621, 0.2621, 0.0000)  1 S 2.16, 1 Na 2.38
Cl (0.7379, 0.7379, 0.0000)  1 S 2.16, 1 Na 2.38
Cl (0.7411, 0.2589, 0.0000)  1 S 2.64, 1 Na 2.83
Cl (0.7411, 0.7411, 0.4822)  1 S 2.64, 1 Na 2.83

4.
The following is a PBE calculation of a geometry-optimized Cr4CoRe structure, from Alexandria.

**D(E_F)**: 1.050 states/eV per atom
**Crystal system**: cubic
**Calculated formation energy**: 0.71 eV/f.u.

Unit cell a=4.6843 b=4.6843 c=4.6843 alpha=60.00 beta=60.00 gamma=60.00
With the nearest neighbours (Å) after each atom.
Sites, in units of the cell vectors:
Cr (0.1248, 0.1248, 0.1248)  6 Cr 2.34-2.35
Cr (0.1248, 0.1248, 0.6255)  6 Cr 2.34-2.35
Cr (0.1248, 0.6255, 0.1248)  6 Cr 2.34-2.35
Cr (0.6255, 0.1248, 0.1248)  6 Cr 2.34-2.35
Co (0.5000, 0.5000, 0.5000)  12 Cr 2.75, 4 Re 2.87
Re (0.7500, 0.7500, 0.7500)  12 Cr 2.75, 4 Co 2.87

5.
The following is a PBE calculation of a geometry-optimized NaNd4Hg7 structure, from Alexandria.

**D(E_F)**: 0.770 states/eV per atom
**Crystal system**: monoclinic
**Calculated formation energy**: -3.76 eV/f.u.

Unit cell a=7.1113 b=7.1113 c=11.3422 alpha=119.30 beta=119.30 gamma=45.72
With the nearest neighbours (Å) after each atom.
Sites, in units of the cell vectors:
Na (0.0000, 0.0000, 0.0000)  2 Hg 2.76
Nd (0.2581, 0.2581, 0.6709)  6 Hg 3.17-3.38
Nd (0.4163, 0.4163, 0.2219)  8 Hg 3.10-3.27
Nd (0.5837, 0.5837, 0.7781)  8 Hg 3.10-3.27
Nd (0.7419, 0.7419, 0.3291)  6 Hg 3.17-3.38
Hg (0.0735, 0.0735, 0.3351)  4 Hg 3.21-3.36, 5 Nd 3.25-3.56, 1 Na 3.39
Hg (0.2039, 0.2039, 0.9140)  4 Nd 3.10-3.19, 4 Hg 3.21-3.46, 1 Na 3.30
Hg (0.3661, 0.3661, 0.4693)  5 Nd 3.13-3.27, 4 Hg 3.19-3.36
Hg (0.5000, 0.5000, 0.0000)  2 Na 2.76
Hg (0.6339, 0.6339, 0.5307)  5 Nd 3.13-3.27, 4 Hg 3.19-3.36
Hg (0.7961, 0.7961, 0.0860)  4 Nd 3.10-3.19, 4 Hg 3.21-3.46, 1 Na 3.30
Hg (0.9265, 0.9265, 0.6649)  4 Hg 3.21-3.36, 5 Nd 3.25-3.56, 1 Na 3.39

6.
The following is a PBE calculation of a geometry-optimized Li2InAg5 structure, from Alexandria.

**D(E_F)**: 0.340 states/eV per atom
**Crystal system**: orthorhombic
**Calculated formation energy**: -1.25 eV/f.u.

Unit cell a=5.7109 b=11.5545 c=4.2839 alpha=90.00 beta=90.00 gamma=90.00
With the nearest neighbours (Å) after each atom.
Sites, in units of the cell vectors:
Li (0.2325, 0.1305, 0.0000)  10 Ag 2.79-2.95, 2 In 3.03
Li (0.2675, 0.6305, 0.0000)  10 Ag 2.79-2.95, 2 In 3.03
Li (0.7325, 0.3695, 0.0000)  10 Ag 2.79-2.95, 2 In 3.03
Li (0.7675, 0.8695, 0.0000)  10 Ag 2.79-2.95, 2 In 3.03
In (0.0000, 0.5000, 0.5000)  8 Ag 2.86-2.93, 4 Li 3.03
In (0.5000, 0.0000, 0.5000)  8 Ag 2.86-2.93, 4 Li 3.03
Ag (0.0000, 0.0000, 0.5000)  2 In 2.86, 6 Ag 2.88-2.97, 4 Li 2.94
Ag (0.0126, 0.7506, 0.5000)  7 Ag 2.86-2.97, 1 In 2.90, 4 Li 2.90-2.94
Ag (0.2440, 0.3753, 0.0000)  4 Li 2.79-2.95, 6 Ag 2.93-2.97, 2 In 2.93
Ag (0.2560, 0.8753, 0.0000)  4 Li 2.79-2.95, 6 Ag 2.93-2.97, 2 In 2.93
Ag (0.4874, 0.2506, 0.5000)  7 Ag 2.86-2.97, 1 In 2.90, 4 Li 2.90-2.94
Ag (0.5000, 0.5000, 0.5000)  2 In 2.86, 6 Ag 2.88-2.97, 4 Li 2.94
Ag (0.5126, 0.7494, 0.5000)  7 Ag 2.86-2.97, 1 In 2.90, 4 Li 2.90-2.94
Ag (0.7440, 0.1247, 0.0000)  4 Li 2.79-2.95, 6 Ag 2.93-2.97, 2 In 2.93
Ag (0.7560, 0.6247, 0.0000)  4 Li 2.79-2.95, 6 Ag 2.93-2.97, 2 In 2.93
Ag (0.9874, 0.2494, 0.5000)  7 Ag 2.86-2.97, 1 In 2.90, 4 Li 2.90-2.94

7.
The following is a PBE calculation of a geometry-optimized AuSeBr structure, from Alexandria.

**D(E_F)**: 0.940 states/eV per atom
**Crystal system**: trigonal
**Raw formation energy**: 0.105 eV/atom

Unit cell a=3.9798 b=3.9798 c=5.3264 alpha=90.00 beta=90.00 gamma=120.00
With the nearest neighbours (Å) after each atom.
Sites, in units of the cell vectors:
Au (0.0000, 0.0000, 0.0000)  3 Se 2.60, 3 Br 2.88
Se (0.3333, 0.6667, 0.7700)  3 Au 2.60
Br (0.6667, 0.3333, 0.3261)  3 Au 2.88

8.
The following is a PBE calculation of a geometry-optimized KGaS3 structure, from Alexandria.

**D(E_F)**: 0.908 states/eV per atom
**Crystal system**: cubic
**Raw formation energy**: -0.242 eV/atom

Unit cell a=4.8566 b=4.8566 c=4.8566 alpha=90.00 beta=90.00 gamma=90.00
With the nearest neighbours (Å) after each atom.
Sites, in units of the cell vectors:
K (0.0000, 0.0000, 0.0000)  12 S 3.43
Ga (0.5000, 0.5000, 0.5000)  6 S 2.43
S (0.0000, 0.5000, 0.5000)  2 Ga 2.43
S (0.5000, 0.0000, 0.5000)  2 Ga 2.43
S (0.5000, 0.5000, 0.0000)  2 Ga 2.43